A PBEsol-optimized structure of ScTeMo2, computed with SCAN.

Unit cell a=3.0196 b=3.0196 c=8.6154 alpha=90.00 beta=90.00 gamma=110.40
Element x y z (fractional)
Sc 0.5000 0.5000 0.5000
Te 0.5000 0.5000 0.0000
Mo 0.0000 0.0000 0.7572
Mo 0.0000 0.0000 0.2428

Results
- magnetization (μB per formula unit) = 0.00
- crystal system = orthorhombic
- DOS(E_F) (states/eV per cell) = 4.1
- raw formation energy (meV/atom) = 548
- E_tot (eV per atom) = -29.77


A PBEsol-optimized structure of ScTeMo2, computed with SCAN.

Unit cell a=3.2210 b=4.2896 c=5.4451 alpha=90.00 beta=98.80 gamma=90.00
Element x y z (fractional)
Sc 0.5127 0.0000 0.5074
Te 0.0776 0.5000 0.7268
Mo 0.0861 0.0000 0.0442
Mo 0.8236 0.5000 0.2216

Results
- magnetization (μB per formula unit) = 0.00
- crystal system = monoclinic
- DOS(E_F) (states/eV per cell) = 2.7
- raw formation energy (meV/atom) = 45
- E_tot (eV per atom) = -30.27


A PBEsol-optimized structure of ScTi3Mo, computed with SCAN.

Unit cell a=4.6927 b=4.6927 c=4.6927 alpha=90.00 beta=90.00 gamma=90.00
Element x y z (fractional)
Sc 0.5000 0.5000 0.5000
Ti 0.0000 0.0000 0.5000
Ti 0.5000 0.0000 0.0000
Mo 0.0000 0.0000 0.0000
Ti 0.0000 0.5000 0.0000

Results
- magnetization (μB per formula unit) = 0.02
- crystal system = cubic
- DOS(E_F) (states/eV per cell) = 9.3
- ΔE_f (eV per formula unit) = 2.70
- E_tot (eV per atom) = -18.90


A PBEsol-optimized structure of ScMoW, computed with SCAN.

Unit cell a=3.0436 b=3.0436 c=6.5093 alpha=90.00 beta=90.00 gamma=120.00
Element x y z (fractional)
Sc 0.3333 0.6667 0.6690
W 0.6667 0.3333 0.3080
Mo 0.0000 0.0000 0.0230

Results
- magnetization (μB per formula unit) = 0.00
- crystal system = trigonal
- DOS(E_F) (states/eV per cell) = 3.5
- ΔE_f (eV per formula unit) = 1.21
- E_tot (eV per atom) = -39.20


A PBEsol-optimized structure of ScMo2W, computed with SCAN.

Unit cell a=3.1307 b=4.4629 c=4.6067 alpha=90.00 beta=90.00 gamma=90.00
Element x y z (fractional)
W 0.0000 0.5000 0.5000
Mo 0.0000 0.0000 0.0000
Mo 0.5000 0.0000 0.5000
Sc 0.5000 0.5000 0.0000

Results
- magnetization (μB per formula unit) = 0.00
- crystal system = orthorhombic
- DOS(E_F) (states/eV per cell) = 4.7
- ΔE_f (eV per formula unit) = 1.03
- E_tot (eV per atom) = -38.17


A PBEsol-optimized structure of ScMo2W, computed with SCAN.

Unit cell a=3.1369 b=3.1369 c=6.7001 alpha=90.00 beta=90.00 gamma=90.00
Element x y z (fractional)
Sc 0.0000 0.0000 0.4991
Mo 0.5000 0.5000 0.2251
Mo 0.0000 0.0000 0.0011
W 0.5000 0.5000 0.7747

Results
- magnetization (μB per formula unit) = 0.00
- crystal system = tetragonal
- DOS(E_F) (states/eV per cell) = 3.4
- ΔE_f (eV per formula unit) = 0.70
- E_tot (eV per atom) = -38.25


A PBEsol-optimized structure of ScMo2W, computed with SCAN.

Unit cell a=3.1349 b=4.5506 c=5.3211 alpha=115.32 beta=107.13 gamma=90.00
Element x y z (fractional)
Mo 0.0018 0.0018 0.0035
Sc 0.4979 0.4979 0.9958
W 0.2631 0.7631 0.5261
Mo 0.7373 0.2373 0.4745

Results
- magnetization (μB per formula unit) = 0.00
- crystal system = orthorhombic
- DOS(E_F) (states/eV per cell) = 3.1
- ΔE_f (eV per formula unit) = 0.40
- E_tot (eV per atom) = -38.32


A PBEsol-optimized structure of ScMo2W, computed with SCAN.

Unit cell a=2.7521 b=4.4483 c=5.3634 alpha=90.00 beta=99.11 gamma=90.00
Element x y z (fractional)
Mo 0.7670 0.0000 0.7453
W 0.0000 0.5000 0.5000
Mo 0.2330 0.0000 0.2547
Sc 0.5000 0.5000 0.0000

Results
- magnetization (μB per formula unit) = 0.00
- crystal system = monoclinic
- DOS(E_F) (states/eV per cell) = 3.5
- ΔE_f (eV per formula unit) = 0.53
- E_tot (eV per atom) = -38.29


A PBEsol-optimized structure of Y2ScMo, computed with SCAN.

Unit cell a=3.1728 b=3.1728 c=10.0248 alpha=90.00 beta=90.00 gamma=108.23
Element x y z (fractional)
Y 0.0000 0.0000 0.0140
Mo 0.0000 0.0000 0.4887
Sc 0.5000 0.5000 0.2970
Y 0.5000 0.5000 0.7002

Results
- magnetization (μB per formula unit) = 0.00
- crystal system = orthorhombic
- DOS(E_F) (states/eV per cell) = 4.7
- ΔE_f (eV per formula unit) = 1.24
- E_tot (eV per atom) = -25.89


A PBEsol-optimized structure of YScMo, computed with SCAN.

Unit cell a=3.2827 b=3.2827 c=7.1438 alpha=90.00 beta=90.00 gamma=120.00
Element x y z (fractional)
Y 0.6667 0.3333 0.2940
Sc 0.3333 0.6667 0.7152
Mo 0.0000 0.0000 0.9909

Results
- magnetization (μB per formula unit) = 0.00
- crystal system = trigonal
- DOS(E_F) (states/eV per cell) = 5.6
- ΔE_f (eV per formula unit) = 1.40
- E_tot (eV per atom) = -25.19


A PBEsol-optimized structure of YScMo, computed with SCAN.

Unit cell a=4.6565 b=4.6565 c=4.6565 alpha=60.00 beta=60.00 gamma=60.00
Element x y z (fractional)
Y 0.5000 0.5000 0.5000
Sc 0.0000 0.0000 0.0000
Mo 0.2500 0.2500 0.2500

Results
- magnetization (μB per formula unit) = 0.00
- crystal system = cubic
- DOS(E_F) (states/eV per cell) = 2.5
- ΔE_f (eV per formula unit) = 2.23
- E_tot (eV per atom) = -24.91


A PBEsol-optimized structure of YScMo, computed with SCAN.

Unit cell a=3.4232 b=3.4232 c=6.1283 alpha=106.22 beta=106.22 gamma=90.00
Element x y z (fractional)
Mo 0.9885 0.9885 0.9770
Sc 0.3656 0.3656 0.7312
Y 0.6459 0.6459 0.2918

Results
- magnetization (μB per formula unit) = 0.00
- crystal system = tetragonal
- DOS(E_F) (states/eV per cell) = 4.5
- ΔE_f (eV per formula unit) = 0.86
- E_tot (eV per atom) = -25.37


A PBEsol-optimized structure of YScZn2Mo, computed with SCAN.

Unit cell a=4.5311 b=4.9317 c=4.9317 alpha=90.00 beta=90.00 gamma=90.00
Element x y z (fractional)
Sc 0.5000 0.0000 0.0000
Y 0.5000 0.5000 0.5000
Zn 0.0000 0.5000 0.0000
Zn 0.0000 0.0000 0.5000
Mo 0.0000 0.0000 0.0000

Results
- magnetization (μB per formula unit) = 0.00
- crystal system = tetragonal
- DOS(E_F) (states/eV per cell) = 3.7
- ΔE_f (eV per formula unit) = 1.72
- E_tot (eV per atom) = -20.46


A PBEsol-optimized structure of ScZnMo2, computed with SCAN.

Unit cell a=3.2110 b=3.2110 c=6.2787 alpha=90.00 beta=90.00 gamma=90.00
Element x y z (fractional)
Zn 0.5000 0.5000 0.7684
Mo 0.0000 0.0000 0.0107
Sc 0.0000 0.0000 0.4989
Mo 0.5000 0.5000 0.2220

Results
- magnetization (μB per formula unit) = 0.00
- crystal system = tetragonal
- DOS(E_F) (states/eV per cell) = 4.0
- ΔE_f (eV per formula unit) = -0.31
- E_tot (eV per atom) = -24.46


A PBEsol-optimized structure of Sc2ZnMo, computed with SCAN.

Unit cell a=3.0581 b=3.0581 c=9.2475 alpha=80.48 beta=80.48 gamma=60.00
Element x y z (fractional)
Mo 0.0000 0.0000 0.0000
Zn 0.5000 0.5000 0.5000
Sc 0.7485 0.7485 0.7545
Sc 0.2515 0.2515 0.2455

Results
- magnetization (μB per formula unit) = 0.00
- crystal system = trigonal
- DOS(E_F) (states/eV per cell) = 5.6
- ΔE_f (eV per formula unit) = 0.62
- E_tot (eV per atom) = -19.06